VASP calculation (meta-GGA SCAN) on a PBEsol-optimized structure of Mg2TlCr.

## Properties
- ΔE_f: 0.18 eV per formula unit
- E_tot: -25.13 eV per atom
- Symmetry: Pmmm, No. 47
- E above lowest polymorph: 20.4 meV/atom

Unit cell a=3.3318 b=3.9583 c=6.2000 alpha=90.00 beta=90.00 gamma=90.00
Fractional coordinates of all 4 atoms:
Tl (0.5000, 0.5000, 0.0000)
Mg (0.9998, 0.0000, 0.2646)
Mg (0.0002, 0.0000, 0.7354)
Cr (0.5000, 0.5000, 0.5000)